1.
Material: CsCdAsBr2
Method: DFT, GGA-PBE
State: optimized geometry

Cell lengths 5.769, 5.769, 5.472 Å; angles 90.00, 90.00, 90.00 degrees
Sites, in units of the cell vectors:
Cs1 0.000 0.000 0.000
Cd1 0.500 0.500 0.000
As1 0.500 0.500 0.500
Br1 0.000 0.500 0.500
Br2 0.500 0.000 0.500

Formation energy without anion corrections = -568 meV per atom
Volume = 36.4 Å³ per atom
Space group = P4/mmm



2.
Material: ZnSb
Method: DFT, GGA-PBE
State: optimized geometry

Cell lengths 3.616, 3.616, 7.592 Å; angles 90.00, 90.00, 90.00 degrees
Sites, in units of the cell vectors:
Zn1 0.250 0.250 0.094
Zn2 0.750 0.750 0.906
Sb1 0.250 0.250 0.728
Sb2 0.750 0.750 0.272

Formation energy without anion corrections = 111 meV per atom
Volume = 24.8 Å³ per atom
Space group = P4/nmm



3.
Material: SmCuPd
Method: DFT, GGA-PBE
State: optimized geometry

Cell lengths 4.395, 4.395, 3.656 Å; angles 90.00, 90.00, 120.00 degrees
Sites, in units of the cell vectors:
Sm1 0.000 0.000 0.000
Cu1 0.333 0.667 0.500
Pd1 0.667 0.333 0.500

Volume = 20.4 Å³ per atom
DFT formation energy = -0.549 eV/atom
Space group = P-6m2



Question: Number 3 is which compound?
Answer: SmCuPd